Entry 1:
Compound: Pm3GdOs
Source: Alexandria
Functional: GGA-PBE
Structure: optimized geometry

Values from the calculation:
**Crystal system**: cubic
**V**: 173.1 Å³/cell
**Calculated total energy**: -7.81 eV/atom

Geometry as CIF:
```
data_Pm3GdOs
_symmetry_space_group_name_H-M 'P 1'
_symmetry_Int_Tables_number 1
_symmetry_space_group_name_Hall 'P 1'
_cell_length_a 5.5726
_cell_length_b 5.5726
_cell_length_c 5.5726
_cell_angle_alpha 90.00
_cell_angle_beta 90.00
_cell_angle_gamma 90.00
loop_
_atom_site_label
_atom_site_fract_x
_atom_site_fract_y
_atom_site_fract_z
Pm1 0.0000 0.0000 0.5000
Pm2 0.0000 0.5000 0.0000
Pm3 0.5000 0.0000 0.0000
Gd1 0.5000 0.5000 0.5000
Os1 0.0000 0.0000 0.0000
```

Entry 2:
Compound: Pm2GdOs
Source: Alexandria
Functional: GGA-PBE
Structure: optimized geometry

Values from the calculation:
**Crystal system**: trigonal
**Energy above the lowest structure with this stoichiometry**: 322 meV per atom
**V**: 120.8 Å³/cell
**Calculated total energy**: -8.35 eV/atom

Geometry as CIF:
```
data_Pm2GdOs
_symmetry_space_group_name_H-M 'P 1'
_symmetry_Int_Tables_number 1
_symmetry_space_group_name_Hall 'P 1'
_cell_length_a 11.0834
_cell_length_b 11.0834
_cell_length_c 11.0834
_cell_angle_alpha 18.59
_cell_angle_beta 18.59
_cell_angle_gamma 18.59
loop_
_atom_site_label
_atom_site_fract_x
_atom_site_fract_y
_atom_site_fract_z
Pm1 0.1061 0.1061 0.1061
Pm2 0.8939 0.8939 0.8939
Gd1 0.0000 0.0000 0.0000
Os1 0.5000 0.5000 0.5000
```

Entry 3:
Compound: PmGd2Os
Source: Alexandria
Functional: GGA-PBE
Structure: optimized geometry

Values from the calculation:
**Crystal system**: tetragonal
**Energy above the lowest structure with this stoichiometry**: 0 meV per atom
**V**: 111.0 Å³/cell
**Calculated total energy**: -11.11 eV/atom

Geometry as CIF:
```
data_PmGd2Os
_symmetry_space_group_name_H-M 'P 1'
_symmetry_Int_Tables_number 1
_symmetry_space_group_name_Hall 'P 1'
_cell_length_a 3.4361
_cell_length_b 3.4361
_cell_length_c 9.3975
_cell_angle_alpha 90.00
_cell_angle_beta 90.00
_cell_angle_gamma 90.00
loop_
_atom_site_label
_atom_site_fract_x
_atom_site_fract_y
_atom_site_fract_z
Pm1 0.0000 0.0000 0.0000
Gd1 0.5000 0.5000 0.3214
Gd2 0.5000 0.5000 0.6786
Os1 0.0000 0.0000 0.5000
```

Entry 4:
Compound: PmGd3Os
Source: Alexandria
Functional: GGA-PBE
Structure: optimized geometry

Values from the calculation:
**Crystal system**: cubic
**V**: 164.7 Å³/cell
**Calculated total energy**: -11.64 eV/atom

Geometry as CIF:
```
data_PmGd3Os
_symmetry_space_group_name_H-M 'P 1'
_symmetry_Int_Tables_number 1
_symmetry_space_group_name_Hall 'P 1'
_cell_length_a 5.4810
_cell_length_b 5.4810
_cell_length_c 5.4810
_cell_angle_alpha 90.00
_cell_angle_beta 90.00
_cell_angle_gamma 90.00
loop_
_atom_site_label
_atom_site_fract_x
_atom_site_fract_y
_atom_site_fract_z
Pm1 0.0000 0.0000 0.0000
Gd1 0.0000 0.5000 0.5000
Gd2 0.5000 0.0000 0.5000
Gd3 0.5000 0.5000 0.0000
Os1 0.5000 0.5000 0.5000
```

Entry 5:
Compound: PmGdOsPt
Source: Alexandria
Functional: GGA-PBE
Structure: optimized geometry

Values from the calculation:
**Crystal system**: cubic
**V**: 86.3 Å³/cell
**Calculated total energy**: -9.54 eV/atom

Geometry as CIF:
```
data_PmGdOsPt
_symmetry_space_group_name_H-M 'P 1'
_symmetry_Int_Tables_number 1
_symmetry_space_group_name_Hall 'P 1'
_cell_length_a 4.9608
_cell_length_b 4.9608
_cell_length_c 4.9608
_cell_angle_alpha 60.00
_cell_angle_beta 60.00
_cell_angle_gamma 60.00
loop_
_atom_site_label
_atom_site_fract_x
_atom_site_fract_y
_atom_site_fract_z
Pm1 0.0000 0.0000 0.0000
Gd1 0.5000 0.5000 0.5000
Os1 0.2500 0.2500 0.2500
Pt1 0.7500 0.7500 0.7500
```

Entry 6:
Compound: PmGdOsRu
Source: Alexandria
Functional: GGA-PBE
Structure: optimized geometry

Values from the calculation:
**Crystal system**: cubic
**V**: 82.9 Å³/cell
**Calculated total energy**: -9.86 eV/atom

Geometry as CIF:
```
data_PmGdOsRu
_symmetry_space_group_name_H-M 'P 1'
_symmetry_Int_Tables_number 1
_symmetry_space_group_name_Hall 'P 1'
_cell_length_a 4.8942
_cell_length_b 4.8942
_cell_length_c 4.8942
_cell_angle_alpha 60.00
_cell_angle_beta 60.00
_cell_angle_gamma 60.00
loop_
_atom_site_label
_atom_site_fract_x
_atom_site_fract_y
_atom_site_fract_z
Pm1 0.0000 0.0000 0.0000
Gd1 0.5000 0.5000 0.5000
Os1 0.7500 0.7500 0.7500
Ru1 0.2500 0.2500 0.2500
```

Entry 7:
Compound: PmGdTlOs
Source: Alexandria
Functional: GGA-PBE
Structure: optimized geometry

Values from the calculation:
**Crystal system**: cubic
**V**: 96.9 Å³/cell
**Calculated total energy**: -8.19 eV/atom

Geometry as CIF:
```
data_PmGdTlOs
_symmetry_space_group_name_H-M 'P 1'
_symmetry_Int_Tables_number 1
_symmetry_space_group_name_Hall 'P 1'
_cell_length_a 5.1558
_cell_length_b 5.1558
_cell_length_c 5.1558
_cell_angle_alpha 60.00
_cell_angle_beta 60.00
_cell_angle_gamma 60.00
loop_
_atom_site_label
_atom_site_fract_x
_atom_site_fract_y
_atom_site_fract_z
Pm1 0.0000 0.0000 0.0000
Gd1 0.5000 0.5000 0.5000
Tl1 0.7500 0.7500 0.7500
Os1 0.2500 0.2500 0.2500
```

Entry 8:
Compound: PrGd2Os
Source: Alexandria
Functional: GGA-PBE
Structure: optimized geometry

Values from the calculation:
**Crystal system**: trigonal
**Energy above the lowest structure with this stoichiometry**: 227 meV per atom
**V**: 106.2 Å³/cell
**Calculated total energy**: -10.90 eV/atom

Geometry as CIF:
```
data_PrGd2Os
_symmetry_space_group_name_H-M 'P 1'
_symmetry_Int_Tables_number 1
_symmetry_space_group_name_Hall 'P 1'
_cell_length_a 6.0468
_cell_length_b 6.0468
_cell_length_c 6.0468
_cell_angle_alpha 46.51
_cell_angle_beta 46.51
_cell_angle_gamma 46.51
loop_
_atom_site_label
_atom_site_fract_x
_atom_site_fract_y
_atom_site_fract_z
Pr1 0.0000 0.0000 0.0000
Gd1 0.2255 0.2255 0.2255
Gd2 0.7745 0.7745 0.7745
Os1 0.5000 0.5000 0.5000
```

Entry 9:
Compound: PrGd2Os
Source: Alexandria
Functional: GGA-PBE
Structure: optimized geometry

Values from the calculation:
**Crystal system**: tetragonal
**Energy above the lowest structure with this stoichiometry**: 0 meV per atom
**V**: 112.4 Å³/cell
**Calculated total energy**: -11.13 eV/atom

Geometry as CIF:
```
data_PrGd2Os
_symmetry_space_group_name_H-M 'P 1'
_symmetry_Int_Tables_number 1
_symmetry_space_group_name_Hall 'P 1'
_cell_length_a 3.4504
_cell_length_b 3.4504
_cell_length_c 9.4411
_cell_angle_alpha 90.00
_cell_angle_beta 90.00
_cell_angle_gamma 90.00
loop_
_atom_site_label
_atom_site_fract_x
_atom_site_fract_y
_atom_site_fract_z
Pr1 0.0000 0.0000 0.0000
Gd1 0.5000 0.5000 0.3231
Gd2 0.5000 0.5000 0.6769
Os1 0.0000 0.0000 0.5000
```

Entry 10:
Compound: Gd2OsPt
Source: Alexandria
Functional: GGA-PBE
Structure: optimized geometry

Values from the calculation:
**Crystal system**: tetragonal
**V**: 84.2 Å³/cell
**Calculated total energy**: -11.99 eV/atom

Geometry as CIF:
```
data_Gd2OsPt
_symmetry_space_group_name_H-M 'P 1'
_symmetry_Int_Tables_number 1
_symmetry_space_group_name_Hall 'P 1'
_cell_length_a 3.4531
_cell_length_b 3.4531
_cell_length_c 7.0584
_cell_angle_alpha 90.00
_cell_angle_beta 90.00
_cell_angle_gamma 90.00
loop_
_atom_site_label
_atom_site_fract_x
_atom_site_fract_y
_atom_site_fract_z
Gd1 0.0000 0.0000 0.2427
Gd2 0.0000 0.0000 0.7573
Os1 0.5000 0.5000 0.0000
Pt1 0.5000 0.5000 0.5000
```

Entry 11:
Compound: GdPuOsPt
Source: Alexandria
Functional: GGA-PBE
Structure: optimized geometry

Values from the calculation:
**Crystal system**: cubic
**V**: 83.0 Å³/cell
**Calculated total energy**: -11.82 eV/atom

Geometry as CIF:
```
data_GdPuOsPt
_symmetry_space_group_name_H-M 'P 1'
_symmetry_Int_Tables_number 1
_symmetry_space_group_name_Hall 'P 1'
_cell_length_a 4.8961
_cell_length_b 4.8961
_cell_length_c 4.8961
_cell_angle_alpha 60.00
_cell_angle_beta 60.00
_cell_angle_gamma 60.00
loop_
_atom_site_label
_atom_site_fract_x
_atom_site_fract_y
_atom_site_fract_z
Gd1 0.0000 0.0000 0.0000
Pu1 0.5000 0.5000 0.5000
Os1 0.7500 0.7500 0.7500
Pt1 0.2500 0.2500 0.2500
```

Entry 12:
Compound: TbGdOsPt
Source: Alexandria
Functional: GGA-PBE
Structure: optimized geometry

Values from the calculation:
**Crystal system**: cubic
**V**: 83.4 Å³/cell
**Calculated total energy**: -9.60 eV/atom

Geometry as CIF:
```
data_TbGdOsPt
_symmetry_space_group_name_H-M 'P 1'
_symmetry_Int_Tables_number 1
_symmetry_space_group_name_Hall 'P 1'
_cell_length_a 4.9043
_cell_length_b 4.9043
_cell_length_c 4.9043
_cell_angle_alpha 60.00
_cell_angle_beta 60.00
_cell_angle_gamma 60.00
loop_
_atom_site_label
_atom_site_fract_x
_atom_site_fract_y
_atom_site_fract_z
Tb1 0.0000 0.0000 0.0000
Gd1 0.5000 0.5000 0.5000
Os1 0.7500 0.7500 0.7500
Pt1 0.2500 0.2500 0.2500
```

Entry 13:
Compound: GdThOsPt
Source: Alexandria
Functional: GGA-PBE
Structure: optimized geometry

Values from the calculation:
**Crystal system**: cubic
**V**: 88.9 Å³/cell
**Calculated total energy**: -10.30 eV/atom

Geometry as CIF:
```
data_GdThOsPt
_symmetry_space_group_name_H-M 'P 1'
_symmetry_Int_Tables_number 1
_symmetry_space_group_name_Hall 'P 1'
_cell_length_a 5.0098
_cell_length_b 5.0098
_cell_length_c 5.0098
_cell_angle_alpha 60.00
_cell_angle_beta 60.00
_cell_angle_gamma 60.00
loop_
_atom_site_label
_atom_site_fract_x
_atom_site_fract_y
_atom_site_fract_z
Gd1 0.0000 0.0000 0.0000
Th1 0.5000 0.5000 0.5000
Os1 0.7500 0.7500 0.7500
Pt1 0.2500 0.2500 0.2500
```

Entry 14:
Compound: GdTmOsPt
Source: Alexandria
Functional: GGA-PBE
Structure: optimized geometry

Values from the calculation:
**Crystal system**: cubic
**V**: 81.2 Å³/cell
**Calculated total energy**: -9.61 eV/atom

Geometry as CIF:
```
data_GdTmOsPt
_symmetry_space_group_name_H-M 'P 1'
_symmetry_Int_Tables_number 1
_symmetry_space_group_name_Hall 'P 1'
_cell_length_a 4.8607
_cell_length_b 4.8607
_cell_length_c 4.8607
_cell_angle_alpha 60.00
_cell_angle_beta 60.00
_cell_angle_gamma 60.00
loop_
_atom_site_label
_atom_site_fract_x
_atom_site_fract_y
_atom_site_fract_z
Gd1 0.0000 0.0000 0.0000
Tm1 0.5000 0.5000 0.5000
Os1 0.2500 0.2500 0.2500
Pt1 0.7500 0.7500 0.7500
```

Entry 15:
Compound: GdYOsPt
Source: Alexandria
Functional: GGA-PBE
Structure: optimized geometry

Values from the calculation:
**Crystal system**: cubic
**V**: 83.2 Å³/cell
**Calculated total energy**: -10.06 eV/atom

Geometry as CIF:
```
data_GdYOsPt
_symmetry_space_group_name_H-M 'P 1'
_symmetry_Int_Tables_number 1
_symmetry_space_group_name_Hall 'P 1'
_cell_length_a 4.9001
_cell_length_b 4.9001
_cell_length_c 4.9001
_cell_angle_alpha 60.00
_cell_angle_beta 60.00
_cell_angle_gamma 60.00
loop_
_atom_site_label
_atom_site_fract_x
_atom_site_fract_y
_atom_site_fract_z
Gd1 0.0000 0.0000 0.0000
Y1 0.5000 0.5000 0.5000
Os1 0.2500 0.2500 0.2500
Pt1 0.7500 0.7500 0.7500
```

Entry 16:
Compound: GdPuOs2
Source: Alexandria
Functional: GGA-PBE
Structure: optimized geometry

Values from the calculation:
**Crystal system**: tetragonal
**Energy above the lowest structure with this stoichiometry**: 13 meV per atom
**V**: 79.1 Å³/cell
**Calculated total energy**: -12.68 eV/atom

Geometry as CIF:
```
data_GdPuOs2
_symmetry_space_group_name_H-M 'P 1'
_symmetry_Int_Tables_number 1
_symmetry_space_group_name_Hall 'P 1'
_cell_length_a 4.8329
_cell_length_b 4.8329
_cell_length_c 3.3866
_cell_angle_alpha 90.00
_cell_angle_beta 90.00
_cell_angle_gamma 90.00
loop_
_atom_site_label
_atom_site_fract_x
_atom_site_fract_y
_atom_site_fract_z
Gd1 0.0000 0.0000 0.0000
Pu1 0.5000 0.5000 0.0000
Os1 0.0000 0.5000 0.5000
Os2 0.5000 0.0000 0.5000
```

Entry 17:
Compound: GdPuOs2
Source: Alexandria
Functional: GGA-PBE
Structure: optimized geometry

Values from the calculation:
**Crystal system**: cubic
**Energy above the lowest structure with this stoichiometry**: 0 meV per atom
**V**: 79.0 Å³/cell
**Calculated total energy**: -12.70 eV/atom

Geometry as CIF:
```
data_GdPuOs2
_symmetry_space_group_name_H-M 'P 1'
_symmetry_Int_Tables_number 1
_symmetry_space_group_name_Hall 'P 1'
_cell_length_a 4.8156
_cell_length_b 4.8156
_cell_length_c 4.8156
_cell_angle_alpha 60.00
_cell_angle_beta 60.00
_cell_angle_gamma 60.00
loop_
_atom_site_label
_atom_site_fract_x
_atom_site_fract_y
_atom_site_fract_z
Gd1 0.0000 0.0000 0.0000
Pu1 0.5000 0.5000 0.5000
Os1 0.2500 0.2500 0.2500
Os2 0.7500 0.7500 0.7500
```

Entry 18:
Compound: GdPuOsRh
Source: Alexandria
Functional: GGA-PBE
Structure: optimized geometry

Values from the calculation:
**Crystal system**: cubic
**V**: 80.3 Å³/cell
**Calculated total energy**: -12.03 eV/atom

Geometry as CIF:
```
data_GdPuOsRh
_symmetry_space_group_name_H-M 'P 1'
_symmetry_Int_Tables_number 1
_symmetry_space_group_name_Hall 'P 1'
_cell_length_a 4.8427
_cell_length_b 4.8427
_cell_length_c 4.8427
_cell_angle_alpha 60.00
_cell_angle_beta 60.00
_cell_angle_gamma 60.00
loop_
_atom_site_label
_atom_site_fract_x
_atom_site_fract_y
_atom_site_fract_z
Gd1 0.0000 0.0000 0.0000
Pu1 0.5000 0.5000 0.5000
Os1 0.2500 0.2500 0.2500
Rh1 0.7500 0.7500 0.7500
```

Entry 19:
Compound: GdPuOsRu
Source: Alexandria
Functional: GGA-PBE
Structure: optimized geometry

Values from the calculation:
**Crystal system**: cubic
**V**: 78.8 Å³/cell
**Calculated total energy**: -12.33 eV/atom

Geometry as CIF:
```
data_GdPuOsRu
_symmetry_space_group_name_H-M 'P 1'
_symmetry_Int_Tables_number 1
_symmetry_space_group_name_Hall 'P 1'
_cell_length_a 4.8125
_cell_length_b 4.8125
_cell_length_c 4.8125
_cell_angle_alpha 60.00
_cell_angle_beta 60.00
_cell_angle_gamma 60.00
loop_
_atom_site_label
_atom_site_fract_x
_atom_site_fract_y
_atom_site_fract_z
Gd1 0.0000 0.0000 0.0000
Pu1 0.5000 0.5000 0.5000
Os1 0.7500 0.7500 0.7500
Ru1 0.2500 0.2500 0.2500
```

Entry 20:
Compound: RbGd2Os
Source: Alexandria
Functional: GGA-PBE
Structure: optimized geometry

Values from the calculation:
**Crystal system**: tetragonal
**V**: 135.2 Å³/cell
**Calculated total energy**: -10.03 eV/atom

Geometry as CIF:
```
data_RbGd2Os
_symmetry_space_group_name_H-M 'P 1'
_symmetry_Int_Tables_number 1
_symmetry_space_group_name_Hall 'P 1'
_cell_length_a 3.4969
_cell_length_b 3.4969
_cell_length_c 11.0594
_cell_angle_alpha 90.00
_cell_angle_beta 90.00
_cell_angle_gamma 90.00
loop_
_atom_site_label
_atom_site_fract_x
_atom_site_fract_y
_atom_site_fract_z
Rb1 0.0000 0.0000 0.0000
Gd1 0.5000 0.5000 0.3516
Gd2 0.5000 0.5000 0.6484
Os1 0.0000 0.0000 0.5000
```